# 1
The following is a GGA-PBE calculation of an optimized crystal structure of CeBi2P2Pt7, from Alexandria via LeMat-Bulk.

Output
As for the space group: I4/mmm. Its energy of formation is -0.61 eV/atom.

Cell lengths 4.0442, 4.0442, 15.2055 Å; angles 82.36, 82.36, 90.04 degrees
Last column: nearest neighbours and their distance in Å.
Fractional positions:
1 Ce 0.0000 0.0000 0.0000  12 Pt 2.86-3.02
2 P 0.6186 0.6186 0.7639  5 Pt 2.28-2.40
3 Bi 0.7892 0.7892 0.4214  5 Pt 2.83-2.90
4 Pt 0.5000 0.5000 0.0000  4 Ce 2.86, 8 Pt 3.02
5 Bi 0.2108 0.2108 0.5786  5 Pt 2.83-2.90
6 Pt 0.5755 0.0755 0.8500  2 P 2.40
7 Pt 0.6944 0.6944 0.6110  1 P 2.28
8 Pt 0.0755 0.5755 0.8500  2 P 2.40
9 Pt 0.3056 0.3056 0.3890  1 P 2.28
10 Pt 0.4245 0.9245 0.1500  2 P 2.40
11 Pt 0.9245 0.4245 0.1500  2 P 2.40
12 P 0.3814 0.3814 0.2361  5 Pt 2.28-2.40

=====

# 2
The following is a GGA-PBE calculation of an optimized crystal structure of K2PmUS4, from Alexandria via LeMat-Bulk.

Output
As for the space group: P2/m. The uncorrected formation energy is -1.608 eV/atom.

Cell lengths 4.1139, 7.1188, 7.7778 Å; angles 107.79, 90.00, 90.00 degrees
Last column: nearest neighbours and their distance in Å.
Fractional positions:
1 U 0.5000 0.5000 0.0000  6 S 2.79
2 S 0.5000 0.7583 0.7929  1 U 2.79, 2 Pm 2.84
3 Pm 0.0000 0.0000 0.0000  6 S 2.84-2.85
4 S 0.0000 0.7283 0.2037  2 U 2.79, 1 Pm 2.85
5 K 0.0000 0.5000 0.5000  6 S 3.20
6 S 0.5000 0.2417 0.2071  1 U 2.79, 2 Pm 2.84
7 K 0.5000 0.0000 0.5000  6 S 3.25
8 S 0.0000 0.2717 0.7963  2 U 2.79, 1 Pm 2.85